Record 1
DFT (PBE-GGA) results for a relaxed FeGe crystal.

Unit cell a=7.1823 b=7.1823 c=7.1823 alpha=90.00 beta=90.00 gamma=90.00
Space group I-43m (No. 217)
Symmetry-distinct sites (fractional):
Fe1 0.1164 0.1164 0.1164
Ge1 0.1991 0.1991 0.8009

Values from the calculation:
Its formation energy is 481.2 meV per atom. For the density of states at the Fermi level, the calculation gives 1.73 states/eV/f.u.

Record 2
DFT (PBE-GGA) results for a relaxed FeGe crystal.

Unit cell a=2.8912 b=10.5273 c=13.5552 alpha=90.00 beta=90.00 gamma=90.00
Space group Fddd (No. 70, origin choice 2)
Symmetry-distinct sites (fractional):
Fe1 0.1250 0.1250 0.0220
Ge1 0.1250 0.2604 0.6250

Values from the calculation:
Its formation energy is 91.8 meV per atom. For the density of states at the Fermi level, the calculation gives 2.71 states/eV/f.u.

Record 3
DFT (PBE-GGA) results for a relaxed Fe13Ge3 crystal.

Unit cell a=5.9747 b=7.9372 c=8.1719 alpha=90.00 beta=90.00 gamma=90.00
Space group Amm2 (No. 38)
Symmetry-distinct sites (fractional):
Fe1 0.0000 0.0000 0.0000
Fe2 0.0000 0.0000 0.5131
Fe3 0.0000 0.2498 0.2531
Fe4 0.2424 0.0000 0.7468
Fe5 0.2481 0.2500 0.0034
Fe6 0.5000 0.0000 0.5090
Fe7 0.5000 0.2504 0.2506
Ge1 0.2448 0.0000 0.2688
Ge2 0.5000 0.0000 0.9755

Values from the calculation:
Its formation energy is -25.1 meV per atom. For the density of states at the Fermi level, the calculation gives 11.44 states/eV/f.u.

Record 4
DFT (PBE-GGA) results for a relaxed FeGe crystal.

Unit cell a=5.4132 b=5.4132 c=5.4132 alpha=90.00 beta=90.00 gamma=90.00
Space group F-43m (No. 216)
Symmetry-distinct sites (fractional):
Fe1 0.0000 0.0000 0.0000
Ge1 0.2500 0.2500 0.7500

Values from the calculation:
Its formation energy is 770.8 meV per atom. For the density of states at the Fermi level, the calculation gives 3.30 states/eV/f.u.

Record 5
DFT (PBE-GGA) results for a relaxed FeGe crystal.

Unit cell a=2.8924 b=5.1599 c=7.0610 alpha=90.00 beta=90.00 gamma=90.00
Space group Immm (No. 71)
Symmetry-distinct sites (fractional):
Fe1 0.0000 0.0000 0.2089
Ge1 0.0000 0.2443 0.5000

Values from the calculation:
Its formation energy is 33.6 meV per atom. For the density of states at the Fermi level, the calculation gives 1.97 states/eV/f.u.

Record 6
DFT (PBE-GGA) results for a relaxed FeGe crystal.

Unit cell a=4.1553 b=4.1553 c=4.7033 alpha=90.00 beta=90.00 gamma=120.00
Space group P6_3/mmc (No. 194)
Symmetry-distinct sites (fractional):
Fe1 0.3333 0.6667 0.2500
Ge1 0.3333 0.6667 0.7500

Values from the calculation:
Its formation energy is 378.9 meV per atom. For the density of states at the Fermi level, the calculation gives 2.13 states/eV/f.u.

Record 7
DFT (PBE-GGA) results for a relaxed FeGe crystal.

Unit cell a=3.2324 b=3.2324 c=5.0831 alpha=90.00 beta=90.00 gamma=90.00
Space group P4/nmm (No. 129, origin choice 2)
Symmetry-distinct sites (fractional):
Fe1 0.2500 0.2500 0.1446
Ge1 0.2500 0.2500 0.6560

Values from the calculation:
Its formation energy is -23.4 meV per atom. For the density of states at the Fermi level, the calculation gives 1.03 states/eV/f.u.

Record 8
DFT (PBE-GGA) results for a relaxed FeGe crystal.

Unit cell a=6.6039 b=6.6039 c=6.6039 alpha=90.00 beta=90.00 gamma=90.00
Space group Pm-3n (No. 223)
Symmetry-distinct sites (fractional):
Fe1 0.0000 0.2500 0.5000
Ge1 0.0000 0.5000 0.2500

Values from the calculation:
Its formation energy is 805.2 meV per atom. For the density of states at the Fermi level, the calculation gives 3.73 states/eV/f.u.